[1]
A geometry-optimized ZrTe2Ru structure, computed with PBE.

Calculated values
VASP energy (eV/atom): -6.10
Energy relative to the elements, uncorrected (eV/f.u.): -0.29

Cell: 6.4019 6.4019 6.4019 Å, 38.35 38.35 38.35°
With the nearest neighbours (Å) after each atom.
Positions (direct):
1 Zr 0.0000 0.0000 0.0000  6 Te 2.96
2 Te 0.2385 0.2385 0.2385  3 Ru 2.74, 3 Zr 2.96
3 Te 0.7615 0.7615 0.7615  3 Ru 2.74, 3 Zr 2.96
4 Ru 0.5000 0.5000 0.5000  6 Te 2.74


[2]
A geometry-optimized PuIn8Pd4 structure, computed with PBE.

Calculated values
VASP energy (eV/atom): -4.74
Energy of formation (eV/f.u.): -4.56

Cell: 7.4377 7.4377 7.4377 Å, 98.76 98.76 134.06°
With the nearest neighbours (Å) after each atom.
Positions (direct):
1 Pu 0.0000 0.0000 0.0000  12 In 3.28-3.59
2 In 0.0000 0.3383 0.3383  4 Pd 2.95, 5 In 3.13-3.14, 1 Pu 3.28
3 In 0.0000 0.6617 0.6617  4 Pd 2.95, 5 In 3.13-3.14, 1 Pu 3.28
4 In 0.2815 0.5000 0.7815  4 Pd 2.84, 6 In 2.99-3.14
5 In 0.3383 0.0000 0.3383  4 Pd 2.95, 5 In 3.13-3.14, 1 Pu 3.28
6 In 0.5000 0.2815 0.7815  4 Pd 2.84, 6 In 2.99-3.14
7 In 0.5000 0.7185 0.2185  4 Pd 2.84, 6 In 2.99-3.14
8 In 0.6617 0.0000 0.6617  4 Pd 2.95, 5 In 3.13-3.14, 1 Pu 3.28
9 In 0.7185 0.5000 0.2185  4 Pd 2.84, 6 In 2.99-3.14
10 Pd 0.0000 0.0000 0.5000  8 In 2.84-2.95, 2 Pd 2.90
11 Pd 0.0000 0.5000 0.0000  8 In 2.84-2.95, 2 Pd 2.90
12 Pd 0.5000 0.0000 0.0000  8 In 2.84-2.95, 2 Pd 2.90
13 Pd 0.5000 0.5000 0.5000  8 In 2.84-2.95, 2 Pd 2.90


[3]
A geometry-optimized ErSi3Rh3 structure, computed with PBE.

Calculated values
VASP energy (eV/atom): -6.58
Energy relative to the elements, uncorrected (eV/f.u.): -3.15

Cell: 6.4725 6.4725 6.4725 Å, 90.00 90.00 90.00°
With the nearest neighbours (Å) after each atom.
Positions (direct):
1 Er 0.0000 0.0000 0.0000  12 Rh 3.62, 12 Si 3.62
2 Er 0.5000 0.5000 0.5000  12 Rh 3.62, 12 Si 3.62
3 Si 0.0000 0.2500 0.5000  4 Rh 2.29
4 Si 0.0000 0.7500 0.5000  4 Rh 2.29
5 Si 0.2500 0.5000 0.0000  4 Rh 2.29
6 Si 0.5000 0.0000 0.2500  4 Rh 2.29
7 Si 0.5000 0.0000 0.7500  4 Rh 2.29
8 Si 0.7500 0.5000 0.0000  4 Rh 2.29
9 Rh 0.0000 0.5000 0.2500  4 Si 2.29
10 Rh 0.0000 0.5000 0.7500  4 Si 2.29
11 Rh 0.2500 0.0000 0.5000  4 Si 2.29
12 Rh 0.5000 0.2500 0.0000  4 Si 2.29
13 Rh 0.5000 0.7500 0.0000  4 Si 2.29
14 Rh 0.7500 0.0000 0.5000  4 Si 2.29